{
  "formula": "Ca5U3N12",
  "functional": "GGA-PBE",
  "state": "optimized geometry",
  "lattice": [[-6.8802, 6.8802, 6.8802], [6.8802, -6.8802, 6.8802], [6.8802, 6.8802, -6.8802]],
  "species": ["Ca", "Ca", "Ca", "Ca", "Ca", "Ca", "Ca", "Ca", "Ca", "Ca", "Ca", "Ca", "Ca", "Ca", "Ca", "Ca", "Ca", "Ca", "Ca", "Ca", "U", "U", "U", "U", "U", "U", "U", "U", "U", "U", "U", "U", "N", "N", "N", "N", "N", "N", "N", "N", "N", "N", "N", "N", "N", "N", "N", "N", "N", "N", "N", "N", "N", "N", "N", "N", "N", "N", "N", "N", "N", "N", "N", "N", "N", "N", "N", "N", "N", "N", "N", "N", "N", "N", "N", "N", "N", "N", "N", "N"],
  "fractional_positions": [[0.0000, 0.0000, 0.0000], [0.0000, 0.0000, 0.5000], [0.0000, 0.5000, 0.0000], [0.0000, 0.5000, 0.5000], [0.1250, 0.7500, 0.8750], [0.1250, 0.8750, 0.2500], [0.2500, 0.1250, 0.8750], [0.2500, 0.6250, 0.3750], [0.3750, 0.2500, 0.6250], [0.3750, 0.6250, 0.7500], [0.5000, 0.0000, 0.0000], [0.5000, 0.0000, 0.5000], [0.5000, 0.5000, 0.0000], [0.5000, 0.5000, 0.5000], [0.6250, 0.3750, 0.2500], [0.6250, 0.7500, 0.3750], [0.7500, 0.3750, 0.6250], [0.7500, 0.8750, 0.1250], [0.8750, 0.1250, 0.7500], [0.8750, 0.2500, 0.1250], [0.1250, 0.2500, 0.3750], [0.1250, 0.3750, 0.7500], [0.2500, 0.3750, 0.1250], [0.2500, 0.8750, 0.6250], [0.3750, 0.1250, 0.2500], [0.3750, 0.7500, 0.1250], [0.6250, 0.2500, 0.8750], [0.6250, 0.8750, 0.7500], [0.7500, 0.1250, 0.3750], [0.7500, 0.6250, 0.8750], [0.8750, 0.6250, 0.2500], [0.8750, 0.7500, 0.6250], [0.0884, 0.6833, 0.3975], [0.0884, 0.9051, 0.6909], [0.0949, 0.2858, 0.1833], [0.0949, 0.3091, 0.9116], [0.1025, 0.7858, 0.6909], [0.1025, 0.8167, 0.4116], [0.1833, 0.0949, 0.2858], [0.1833, 0.5884, 0.8975], [0.1909, 0.2858, 0.6025], [0.1909, 0.4051, 0.5884], [0.2142, 0.3091, 0.8975], [0.2142, 0.4051, 0.3167], [0.2858, 0.1833, 0.0949], [0.2858, 0.6025, 0.1909], [0.3091, 0.8975, 0.2142], [0.3091, 0.9116, 0.0949], [0.3167, 0.2142, 0.4051], [0.3167, 0.6025, 0.9116], [0.3975, 0.0884, 0.6833], [0.3975, 0.8091, 0.7142], [0.4051, 0.3167, 0.2142], [0.4051, 0.5884, 0.1909], [0.4116, 0.1025, 0.8167], [0.4116, 0.8091, 0.5949], [0.5884, 0.1909, 0.4051], [0.5884, 0.8975, 0.1833], [0.5949, 0.4116, 0.8091], [0.5949, 0.6833, 0.7858], [0.6025, 0.1909, 0.2858], [0.6025, 0.9116, 0.3167], [0.6833, 0.3975, 0.0884], [0.6833, 0.7858, 0.5949], [0.6909, 0.0884, 0.9051], [0.6909, 0.1025, 0.7858], [0.7142, 0.3975, 0.8091], [0.7142, 0.8167, 0.9051], [0.7858, 0.5949, 0.6833], [0.7858, 0.6909, 0.1025], [0.8091, 0.5949, 0.4116], [0.8091, 0.7142, 0.3975], [0.8167, 0.4116, 0.1025], [0.8167, 0.9051, 0.7142], [0.8975, 0.1833, 0.5884], [0.8975, 0.2142, 0.3091], [0.9051, 0.6909, 0.0884], [0.9051, 0.7142, 0.8167], [0.9116, 0.0949, 0.3091], [0.9116, 0.3167, 0.6025]],
  "formation_energy_uncorrected_ev_per_atom": -0.51,
  "vol_a3_per_atom": 16.3,
  "sg": "Ia-3d, No. 230",
  "m_tot_mub_per_atom": 0.1855
}

***

{
  "formula": "Ca5UN5",
  "functional": "GGA-PBE",
  "state": "optimized geometry",
  "lattice": [[5.5878, -2.4635, 0.0000], [5.5878, 2.4635, 0.0000], [-2.2413, 0.0000, 6.5890]],
  "species": ["Ca", "Ca", "Ca", "Ca", "Ca", "U", "N", "N", "N", "N", "N"],
  "fractional_positions": [[0.0000, 0.0000, 0.0000], [0.3184, 0.3184, 0.1754], [0.3291, 0.3291, 0.6541], [0.6709, 0.6709, 0.3459], [0.6816, 0.6816, 0.8246], [0.0000, 0.0000, 0.5000], [0.1420, 0.1420, 0.3481], [0.1502, 0.1502, 0.8000], [0.5000, 0.5000, 0.5000], [0.8498, 0.8498, 0.2000], [0.8580, 0.8580, 0.6519]],
  "formation_energy_uncorrected_ev_per_atom": -1.13,
  "vol_a3_per_atom": 16.5,
  "sg": "C2/m, No. 12",
  "m_tot_mub_per_atom": 0.0927
}

***

{
  "formula": "Ca4U3N8",
  "functional": "GGA-PBE",
  "state": "optimized geometry",
  "lattice": [[3.4594, 1.9973, 5.9681], [-3.4594, 1.9973, 5.9681], [0.0000, -3.9946, 5.9681]],
  "species": ["Ca", "Ca", "Ca", "Ca", "U", "U", "U", "N", "N", "N", "N", "N", "N", "N", "N"],
  "fractional_positions": [[0.0000, 0.0000, 0.0000], [0.1510, 0.1510, 0.1510], [0.5000, 0.5000, 0.5000], [0.8490, 0.8490, 0.8490], [0.0000, 0.5000, 0.5000], [0.5000, 0.0000, 0.5000], [0.5000, 0.5000, 0.0000], [0.2461, 0.2461, 0.7065], [0.2461, 0.7065, 0.2461], [0.2776, 0.2776, 0.2776], [0.2935, 0.7539, 0.7539], [0.7065, 0.2461, 0.2461], [0.7224, 0.7224, 0.7224], [0.7539, 0.2935, 0.7539], [0.7539, 0.7539, 0.2935]],
  "formation_energy_uncorrected_ev_per_atom": -1.19,
  "vol_a3_per_atom": 16.5,
  "sg": "R-3m, No. 166",
  "m_tot_mub_per_atom": 0.1353
}

***

{
  "formula": "Ca7UN6",
  "functional": "GGA-PBE",
  "state": "optimized geometry",
  "lattice": [[3.6212, 2.0907, 5.2138], [-3.6212, 2.0907, 5.2138], [0.0000, -4.1814, 5.2138]],
  "species": ["Ca", "Ca", "Ca", "Ca", "Ca", "Ca", "Ca", "U", "N", "N", "N", "N", "N", "N"],
  "fractional_positions": [[0.0000, 0.0000, 0.0000], [0.0519, 0.4880, 0.8369], [0.3378, 0.8710, 0.5790], [0.4880, 0.8369, 0.0519], [0.5790, 0.3378, 0.8710], [0.8369, 0.0519, 0.4880], [0.8710, 0.5790, 0.3378], [0.3689, 0.3689, 0.3689], [0.0037, 0.2310, 0.6108], [0.1827, 0.7057, 0.4309], [0.2310, 0.6108, 0.0037], [0.4309, 0.1827, 0.7057], [0.6108, 0.0037, 0.2310], [0.7057, 0.4309, 0.1827]],
  "formation_energy_uncorrected_ev_per_atom": -0.79,
  "vol_a3_per_atom": 16.9,
  "sg": "R3, No. 146",
  "m_tot_mub_per_atom": 0.1441
}

***

{
  "formula": "CaU3N4",
  "functional": "GGA-PBE",
  "state": "optimized geometry",
  "lattice": [[3.4456, -4.9039, 0.0000], [3.4456, 4.9039, 0.0000], [0.0000, 0.0000, 3.4518]],
  "species": ["Ca", "U", "U", "U", "N", "N", "N", "N"],
  "fractional_positions": [[0.0000, 0.0000, 0.0000], [0.0000, 0.5000, 0.5000], [0.5000, 0.0000, 0.5000], [0.5000, 0.5000, 0.0000], [0.2532, 0.7468, 0.0000], [0.2676, 0.2676, 0.5000], [0.7324, 0.7324, 0.5000], [0.7468, 0.2532, 0.0000]],
  "formation_energy_uncorrected_ev_per_atom": -1.25,
  "vol_a3_per_atom": 14.6,
  "sg": "Cmmm, No. 65",
  "m_tot_mub_per_atom": 0.5948
}

***

{
  "formula": "Ca3U3VN8",
  "functional": "GGA-PBE",
  "state": "optimized geometry",
  "lattice": [[3.3645, 1.9425, 5.6714], [-3.3645, 1.9425, 5.6714], [0.0000, -3.8850, 5.6714]],
  "species": ["Ca", "Ca", "Ca", "U", "U", "U", "V", "N", "N", "N", "N", "N", "N", "N", "N"],
  "fractional_positions": [[0.0000, 0.5000, 0.5000], [0.5000, 0.0000, 0.5000], [0.5000, 0.5000, 0.0000], [0.0000, 0.0000, 0.5000], [0.0000, 0.5000, 0.0000], [0.5000, 0.0000, 0.0000], [0.5000, 0.5000, 0.5000], [0.2424, 0.2424, 0.2424], [0.2455, 0.7235, 0.7235], [0.2765, 0.2765, 0.7545], [0.2765, 0.7545, 0.2765], [0.7235, 0.2455, 0.7235], [0.7235, 0.7235, 0.2455], [0.7545, 0.2765, 0.2765], [0.7576, 0.7576, 0.7576]],
  "formation_energy_uncorrected_ev_per_atom": -1.16,
  "vol_a3_per_atom": 14.8,
  "sg": "R-3m, No. 166",
  "m_tot_mub_per_atom": 0.3336
}

***

{
  "formula": "Ca3Y2UN6",
  "functional": "GGA-PBE",
  "state": "optimized geometry",
  "lattice": [[3.0166, -5.2257, 0.0000], [3.0166, 5.2257, 0.0000], [-2.0190, 0.0000, 5.7100]],
  "species": ["Ca", "Ca", "Ca", "Y", "Y", "U", "N", "N", "N", "N", "N", "N"],
  "fractional_positions": [[0.0000, 0.0000, 0.0000], [0.3332, 0.6668, 0.0000], [0.6668, 0.3332, 0.0000], [0.1668, 0.8332, 0.5000], [0.8332, 0.1668, 0.5000], [0.5000, 0.5000, 0.5000], [0.1173, 0.4266, 0.2793], [0.2651, 0.2651, 0.7152], [0.4266, 0.1173, 0.2793], [0.5734, 0.8827, 0.7207], [0.7349, 0.7349, 0.2848], [0.8827, 0.5734, 0.7207]],
  "formation_energy_uncorrected_ev_per_atom": -1.45,
  "vol_a3_per_atom": 15.0,
  "sg": "C2/m, No. 12",
  "m_tot_mub_per_atom": 0.0000
}

***

{
  "formula": "CaY2UN4",
  "functional": "GGA-PBE",
  "state": "optimized geometry",
  "lattice": [[5.9773, 0.0000, 0.0000], [0.0000, 3.4886, 0.0000], [-1.9026, 0.0000, 5.6713]],
  "species": ["Ca", "Y", "Y", "U", "N", "N", "N", "N"],
  "fractional_positions": [[0.0000, 0.0000, 0.0000], [0.0000, 0.5000, 0.5000], [0.5000, 0.0000, 0.5000], [0.5000, 0.5000, 0.0000], [0.2624, 0.0000, 0.7552], [0.2794, 0.5000, 0.2386], [0.7206, 0.5000, 0.7614], [0.7376, 0.0000, 0.2448]],
  "formation_energy_uncorrected_ev_per_atom": -1.48,
  "vol_a3_per_atom": 14.8,
  "sg": "P2/m, No. 10",
  "m_tot_mub_per_atom": 0.1861
}

***

The evaluated ρ for the records listed, in turn: 5.5; 4.7; 6.6; 4.2; 11.5; 7.4; 5.7; 7.2 g/cm3.